1.
VASP calculation (PBE) on a relaxed structure of NpCrSb2.

## Properties
Space group: R-3m
Magnetization: 20.7 μB/cell
DOS(E_F): 16.85 states/eV per cell
Energy relative to the elements, uncorrected: 0.05 eV/f.u.

```
NpCrSb2
1.0
4.246 0.000 0.000
-2.123 3.678 0.000
0.000 0.000 19.234
Np Cr Sb
3 3 6
direct
0.000 0.000 0.000
0.333 0.667 0.667
0.667 0.333 0.333
0.000 0.000 0.500
0.333 0.667 0.167
0.667 0.333 0.833
0.000 0.000 0.236
0.000 0.000 0.764
0.333 0.667 0.431
0.333 0.667 0.902
0.667 0.333 0.098
0.667 0.333 0.569
```

***

2.
VASP calculation (PBE) on a relaxed structure of In3GaHg4.

## Properties
Energy of formation from the pure elements: 0.23 eV per formula unit
Space group: P4/mmm
Magnetization: 0.0 μB/cell
DOS(E_F): 2.44 states/eV per cell
Relative energy among the computed polymorphs: 0.000 eV/atom

```
In3GaHg4
1.0
3.322 0.000 0.000
0.000 3.322 0.000
0.000 0.000 18.371
In Ga Hg
3 1 4
direct
0.000 0.000 0.000
0.000 0.000 0.257
0.000 0.000 0.743
0.000 0.000 0.500
0.500 0.500 0.129
0.500 0.500 0.386
0.500 0.500 0.614
0.500 0.500 0.871
```

***

3.
VASP calculation (PBE) on a relaxed structure of Nb3SbH.

## Properties
Space group: Pm-3m
Magnetization: 0.0 μB/cell
DOS(E_F): 3.99 states/eV per cell
Relative energy among the computed polymorphs: 0.000 eV/atom

```
Nb3SbH
1.0
4.253 0.000 0.000
0.000 4.253 0.000
0.000 0.000 4.253
Nb Sb H
3 1 1
direct
0.000 0.000 0.500
0.000 0.500 0.000
0.500 0.000 0.000
0.500 0.500 0.500
0.000 0.000 0.000
```

***

4.
VASP calculation (PBE) on a relaxed structure of FeRe5.

## Properties
Energy of formation from the pure elements: 1.35 eV per formula unit
Space group: I4/mcm
Magnetization: 0.0 μB/cell
DOS(E_F): 13.33 states/eV per cell
Relative energy among the computed polymorphs: 0.194 eV/atom

```
FeRe5
1.0
-2.974 2.974 5.089
2.974 -2.974 5.089
2.974 2.974 -5.089
Fe Re
2 10
direct
0.250 0.250 0.000
0.750 0.750 0.000
0.000 0.000 0.000
0.013 0.513 0.803
0.210 0.013 0.500
0.290 0.790 0.803
0.487 0.290 0.500
0.500 0.500 0.000
0.513 0.710 0.500
0.710 0.210 0.197
0.790 0.987 0.500
0.987 0.487 0.197
```